(1)
A relaxed structure of Ac2Al7Hg. Source: OQMD, functional PBE-GGA.

Cell: 4.5813 4.5813 10.9390 Å, 90.00 90.00 90.00°
Last column: nearest neighbours and their distance in Å.
Sites, in units of the cell vectors:
Ac  0.0000  0.5000  0.2470  14 Al 3.49-3.59, 2 Hg 3.59
Ac  0.5000  0.0000  0.7530  14 Al 3.49-3.59, 2 Hg 3.59
Al  0.0000  0.0000  0.0000  4 Al 2.69
Al  0.0000  0.5000  0.6342  3 Al 2.60-2.72, 2 Hg 2.72
Al  0.0000  0.5000  0.8718  5 Al 2.60-2.69
Al  0.5000  0.0000  0.1282  5 Al 2.60-2.69
Al  0.5000  0.0000  0.3658  3 Al 2.60-2.72, 2 Hg 2.72
Al  0.5000  0.5000  0.0000  4 Al 2.69
Al  0.5000  0.5000  0.5000  4 Al 2.72
Hg  0.0000  0.0000  0.5000  4 Al 2.72

Values from the calculation:
VASP energy in eV per atom: -3.80

***

(2)
A relaxed structure of Y2Pt2Au. Source: OQMD, functional PBE-GGA.

Cell: 7.6110 7.6110 3.7052 Å, 90.00 90.00 90.00°
Last column: nearest neighbours and their distance in Å.
Sites, in units of the cell vectors:
Y  0.1704  0.3296  0.0000  6 Pt 2.83-2.97
Y  0.3296  0.8296  0.0000  6 Pt 2.83-2.97
Y  0.6704  0.1704  0.0000  6 Pt 2.83-2.97
Y  0.8296  0.6704  0.0000  6 Pt 2.83-2.97
Pt  0.1313  0.6313  0.5000  6 Y 2.83-2.97, 1 Pt 2.83, 2 Au 2.98
Pt  0.3687  0.1313  0.5000  6 Y 2.83-2.97, 1 Pt 2.83, 2 Au 2.98
Pt  0.6313  0.8687  0.5000  6 Y 2.83-2.97, 1 Pt 2.83, 2 Au 2.98
Pt  0.8687  0.3687  0.5000  6 Y 2.83-2.97, 1 Pt 2.83, 2 Au 2.98
Au  0.0000  0.0000  0.5000  4 Pt 2.98
Au  0.5000  0.5000  0.5000  4 Pt 2.98

Values from the calculation:
Energy of formation from the pure elements in eV per atom: -1.089
VASP energy in eV per atom: -6.75

***

(3)
A relaxed structure of LiZnCuBi. Source: OQMD, functional PBE-GGA.

Cell: 4.6682 4.6682 4.6682 Å, 60.00 60.00 60.00°
Last column: nearest neighbours and their distance in Å.
Sites, in units of the cell vectors:
Li  0.0000  0.0000  0.0000  4 Bi 2.86, 4 Cu 2.86
Zn  0.5000  0.5000  0.5000  4 Bi 2.86, 4 Cu 2.86
Cu  0.2500  0.2500  0.2500  4 Zn 2.86, 4 Li 2.86
Bi  0.7500  0.7500  0.7500  4 Zn 2.86, 4 Li 2.86

Values from the calculation:
VASP energy in eV per atom: -2.70
Excess energy over the best structure of this formula in the dataset in eV/f.u.: 0.26

***

Question: Which of these has the highest VASP energy?
Answer: LiZnCuBi